Compound: TaNi4Ru
Source: Alexandria
Functional: SCAN
Structure: PBEsol geometry

The structure belongs to space group F-43m (No. 216); the cell edges are 6.5655, 6.5655 and 6.5655 Å and the angles 90.00°, 90.00° and 90.00°. The inequivalent atoms are Ta at (0.0000, 0.0000, 0.0000), Ni at (0.1243, 0.1243, 0.3757) and Ru at (0.2500, 0.2500, 0.7500).

Its energy of formation from the pure elements is -0.197 eV/atom. As for the crystal system: cubic. For the density, the calculation gives 12.13 Mg/m³.